No. 1
The following is a PBE-GGA calculation of crystalline KGaHg2Te at its relaxed geometry, from Alexandria.

Values from the calculation:
- Formation energy (no corrections): -29 kJ per mole of atoms

abc: 5.416 5.416 5.859
angles: 90.00 90.00 90.00
Space group P4/mmm (No. 123)
Asymmetric unit:
K  0.000  0.000  0.000 (multiplicity 1)
Ga  0.500  0.500  0.500 (multiplicity 1)
Hg  0.000  0.500  0.500 (multiplicity 2)
Te  0.500  0.500  0.000 (multiplicity 1)


No. 2
The following is a PBE-GGA calculation of crystalline KTlGaHg2 at its relaxed geometry, from Alexandria.

Values from the calculation:
- Energy of formation from the pure elements: -0.0417 eV/atom

abc: 5.378 5.378 5.766
angles: 90.00 90.00 90.00
Space group P4/mmm (No. 123)
Asymmetric unit:
K  0.000  0.000  0.000 (multiplicity 1)
Tl  0.500  0.500  0.000 (multiplicity 1)
Ga  0.500  0.500  0.500 (multiplicity 1)
Hg  0.000  0.500  0.500 (multiplicity 2)


No. 3
The following is a PBE-GGA calculation of crystalline KTl2GaHg at its relaxed geometry, from Alexandria.

Values from the calculation:
- Energy of formation from the pure elements: 0.0179 eV/atom

abc: 5.739 5.739 5.310
angles: 90.00 90.00 90.00
Space group P4/mmm (No. 123)
Asymmetric unit:
K  0.000  0.000  0.000 (multiplicity 1)
Tl  0.000  0.500  0.500 (multiplicity 2)
Ga  0.500  0.500  0.500 (multiplicity 1)
Hg  0.500  0.500  0.000 (multiplicity 1)


No. 4
The following is a PBE-GGA calculation of crystalline KTlGaHg at its relaxed geometry, from Alexandria.

Values from the calculation:
- Energy of formation from the pure elements: 0.0017 eV/atom

abc: 7.693 7.693 7.693
angles: 90.00 90.00 90.00
Space group F-43m (No. 216)
Asymmetric unit:
K  0.000  0.000  0.000 (multiplicity 4)
Tl  0.250  0.250  0.750 (multiplicity 4)
Ga  0.000  0.000  0.500 (multiplicity 4)
Hg  0.250  0.250  0.250 (multiplicity 4)


No. 5
The following is a PBE-GGA calculation of crystalline K2ZnGaHg at its relaxed geometry, from Alexandria.

Values from the calculation:
- Energy of formation from the pure elements: 0.0445 eV/atom

abc: 6.551 6.551 4.656
angles: 90.00 90.00 90.00
Space group P4/mmm (No. 123)
Asymmetric unit:
K  0.000  0.500  0.000 (multiplicity 2)
Zn  0.000  0.000  0.000 (multiplicity 1)
Ga  0.000  0.000  0.500 (multiplicity 1)
Hg  0.500  0.500  0.500 (multiplicity 1)


No. 6
The following is a PBE-GGA calculation of crystalline KZnGaHg2 at its relaxed geometry, from Alexandria.

Values from the calculation:
- Energy of formation from the pure elements: -0.0224 eV/atom

abc: 5.408 5.408 5.113
angles: 90.00 90.00 90.00
Space group P4/mmm (No. 123)
Asymmetric unit:
K  0.000  0.000  0.000 (multiplicity 1)
Zn  0.500  0.500  0.000 (multiplicity 1)
Ga  0.500  0.500  0.500 (multiplicity 1)
Hg  0.000  0.500  0.500 (multiplicity 2)


No. 7
The following is a PBE-GGA calculation of crystalline KZnGaHg2 at its relaxed geometry, from Alexandria.

Values from the calculation:
- Energy of formation from the pure elements: -0.0187 eV/atom

abc: 5.398 5.398 4.996
angles: 90.00 90.00 90.00
Space group P4/mmm (No. 123)
Asymmetric unit:
K  0.000  0.000  0.000 (multiplicity 1)
Zn  0.500  0.500  0.500 (multiplicity 1)
Ga  0.500  0.500  0.000 (multiplicity 1)
Hg  0.000  0.500  0.500 (multiplicity 2)


No. 8
The following is a PBE-GGA calculation of crystalline LaGaHg at its relaxed geometry, from Alexandria.

Values from the calculation:
- Energy of formation from the pure elements: -0.4921 eV/atom

abc: 4.710 4.710 7.196
angles: 90.00 90.00 90.00
Space group P4/nmm (No. 129, origin choice 2)
Asymmetric unit:
La  0.250  0.250  0.204 (multiplicity 2)
Ga  0.250  0.750  0.500 (multiplicity 2)
Hg  0.250  0.250  0.745 (multiplicity 2)


Copy entry 4 word for word.
The following is a PBE-GGA calculation of crystalline KTlGaHg at its relaxed geometry, from Alexandria.

Values from the calculation:
- Energy of formation from the pure elements: 0.0017 eV/atom

abc: 7.693 7.693 7.693
angles: 90.00 90.00 90.00
Space group F-43m (No. 216)
Asymmetric unit:
K  0.000  0.000  0.000 (multiplicity 4)
Tl  0.250  0.250  0.750 (multiplicity 4)
Ga  0.000  0.000  0.500 (multiplicity 4)
Hg  0.250  0.250  0.250 (multiplicity 4)